Crystalline NaGa4Pt2 at its relaxed geometry, computed with PBE.

Cell: 16.8190 4.2992 6.9140 Å, 90.00 90.00 90.00°
Space group Pnma (No. 62)
One atom of each set of equivalent atoms:
Na 0.1445 0.2500 0.0310
Ga 0.0380 0.7500 0.8724
Ga 0.0647 0.2500 0.4695
Ga 0.1864 0.7500 0.3252
Ga 0.1873 0.7500 0.7416
Pt 0.0351 0.7500 0.2518
Pt 0.2138 0.2500 0.5363

Properties
* calculated formation energy: -519 meV per atom
* total DFT energy (no corrections): -29.1 eV per formula unit


Crystalline Ca3InAg2 at its relaxed geometry, computed with PBE.

Cell: 3.6580 3.6580 11.9635 Å, 90.00 90.00 90.00°
Space group P4/mmm (No. 123)
One atom of each set of equivalent atoms:
Ca 0.0000 0.0000 0.0000
Ca 0.0000 0.0000 0.3191
In 0.5000 0.5000 0.5000
Ag 0.5000 0.5000 0.1596

Properties
* calculated formation energy: -356 meV per atom
* total DFT energy (no corrections): -16.6 eV per formula unit


Crystalline La2NdHg at its relaxed geometry, computed with PBE.

Cell: 3.8159 3.8159 9.0881 Å, 90.00 90.00 90.00°
Space group P4/mmm (No. 123)
One atom of each set of equivalent atoms:
La 0.0000 0.0000 0.2224
Nd 0.5000 0.5000 0.5000
Hg 0.5000 0.5000 0.0000

Properties
* calculated formation energy: -239 meV per atom
* total DFT energy (no corrections): -15.9 eV per formula unit


Crystalline LiSmDyRe at its relaxed geometry, computed with PBE.

Cell: 7.0167 7.0167 7.0167 Å, 90.00 90.00 90.00°
Space group F-43m (No. 216)
One atom of each set of equivalent atoms:
Li 0.0000 0.0000 0.0000
Sm 0.2500 0.2500 0.2500
Dy 0.2500 0.2500 0.7500
Re 0.0000 0.0000 0.5000

Properties
* calculated formation energy: 103 meV per atom
* total DFT energy (no corrections): -23.3 eV per formula unit


Crystalline PuPaTeSe at its relaxed geometry, computed with PBE.

Cell: 7.3462 7.3462 7.3462 Å, 90.00 90.00 90.00°
Space group F-43m (No. 216)
One atom of each set of equivalent atoms:
Pu 0.0000 0.0000 0.0000
Pa 0.0000 0.0000 0.5000
Te 0.2500 0.2500 0.2500
Se 0.2500 0.2500 0.7500

Properties
* total DFT energy (no corrections): -34.3 eV per formula unit
* energy relative to the elements, uncorrected: -0.960 eV per atom


Crystalline ZnInCl at its relaxed geometry, computed with PBE.

Cell: 3.5542 3.5542 11.4512 Å, 90.00 90.00 90.00°
Space group I4mm (No. 107)
One atom of each set of equivalent atoms:
Zn 0.0000 0.0000 0.0000
In 0.0000 0.0000 0.3389
Cl 0.0000 0.0000 0.6334

Properties
* total DFT energy (no corrections): -6.6 eV per formula unit
* energy relative to the elements, uncorrected: -0.249 eV per atom